[1]
Ta3AuCN: relaxed, PBE.

It has space group P-3m1 (No. 164), with a = 3.1458 Å, b = 3.1458 Å, c = 18.9873 Å, α = 90.00°, β = 90.00° and γ = 120.00°. The asymmetric unit holds Ta at (0.0000, 0.0000, 0.0000), Ta at (0.0000, 0.0000, 0.5000), Ta at (0.3333, 0.6667, 0.1304), Ta at (0.3333, 0.6667, 0.3693), Au at (0.0000, 0.0000, 0.2490), C at (0.3333, 0.6667, 0.5703) and N at (0.3333, 0.6667, 0.9333).

For the calculated volume, the calculation gives 13.561 A^3/atom. As for the density: 15.63 Mg/m³. Its energy is -9.93 eV/atom.

[2]
BaPmSb: relaxed, PBE.

It has space group F-43m (No. 216), with a = 7.638 Å, b = 7.638 Å, c = 7.638 Å, α = 90.00°, β = 90.00° and γ = 90.00°. The asymmetric unit holds Ba at (0.000, 0.000, 0.000), Pm at (0.250, 0.250, 0.250) and Sb at (0.000, 0.000, 0.500).

For the calculated volume, the calculation gives 37.138 A^3/atom. As for the density: 6.02 Mg/m³. The distance to the lowest polymorph of the same formula is 0 meV/atom.

[3]
Er4NiPt3: relaxed, PBE.

It has space group Pm (No. 6), with a = 5.502 Å, b = 4.426 Å, c = 6.955 Å, α = 90.00°, β = 90.70° and γ = 90.00°. The asymmetric unit holds Er at (0.000, 0.000, 0.000), Er at (0.224, 0.000, 0.502), Er at (0.501, 0.500, 0.137), Er at (0.728, 0.500, 0.640), Ni at (0.224, 0.500, 0.781), Pt at (0.019, 0.500, 0.275), Pt at (0.500, 0.000, 0.857) and Pt at (0.708, 0.000, 0.364).

For the calculated volume, the calculation gives 21.171 A^3/atom. As for the density: 12.87 Mg/m³. As for the calculated formation energy: -1111 meV/atom.

[4]
RbZrAsO: relaxed, PBE.

It has space group P4/nmm (No. 129, origin choice 2), with a = 4.752 Å, b = 4.752 Å, c = 10.452 Å, α = 90.00°, β = 90.00° and γ = 90.00°. The asymmetric unit holds Rb at (0.250, 0.250, 0.121), Zr at (0.250, 0.750, 0.500), As at (0.250, 0.250, 0.616) and O at (0.250, 0.750, 0.000).

For the calculated volume, the calculation gives 29.499 A^3/atom. As for the density: 3.77 Mg/m³. The distance to the lowest polymorph of the same formula is 1107 meV/atom.

[5]
DySi2NiAu: relaxed, PBE.

It has space group I-4m2 (No. 119), with a = 4.079 Å, b = 4.079 Å, c = 10.061 Å, α = 90.00°, β = 90.00° and γ = 90.00°. The asymmetric unit holds Dy at (0.000, 0.000, 0.000), Si at (0.000, 0.000, 0.385), Ni at (0.000, 0.500, 0.250) and Au at (0.000, 0.500, 0.750).

For the calculated volume, the calculation gives 16.742 A^3/atom. As for the density: 9.41 Mg/m³. Its energy is -5.54 eV/atom.

[6]
La2Mg4FeIr: relaxed, PBE.

It has space group Amm2 (No. 38), with a = 8.502 Å, b = 4.203 Å, c = 10.133 Å, α = 90.00°, β = 90.00° and γ = 90.00°. The asymmetric unit holds La at (0.000, 0.000, 0.000), La at (0.500, 0.000, 0.118), Mg at (0.197, 0.000, 0.719), Mg at (0.309, 0.000, 0.403), Fe at (0.500, 0.000, 0.834) and Ir at (0.000, 0.000, 0.290).

For the calculated volume, the calculation gives 22.626 A^3/atom. As for the density: 5.72 Mg/m³. Its energy is -4.33 eV/atom.

[7]
Tb: relaxed, PBE.

It has space group Pm-3n (No. 223), with a = 6.416 Å, b = 6.416 Å, c = 6.416 Å, α = 90.00°, β = 90.00° and γ = 90.00°. The asymmetric unit holds Tb at (0.000, 0.000, 0.000) and Tb at (0.000, 0.250, 0.500).

For the calculated volume, the calculation gives 33.017 A^3/atom. As for the density: 7.99 Mg/m³. As for the calculated formation energy: 261 meV/atom. The distance to the lowest polymorph of the same formula is 261 meV/atom.

[8]
Hf2Al2NiPdAu2: relaxed, PBE.

It has space group P-4m2 (No. 115), with a = 4.552 Å, b = 4.552 Å, c = 6.471 Å, α = 90.00°, β = 90.00° and γ = 90.00°. The asymmetric unit holds Hf at (0.000, 0.500, 0.240), Al at (0.000, 0.500, 0.754), Ni at (0.500, 0.500, 0.000), Pd at (0.000, 0.000, 0.500), Au at (0.000, 0.000, 0.000) and Au at (0.500, 0.500, 0.500).

For the calculated volume, the calculation gives 16.762 A^3/atom. As for the density: 12.01 Mg/m³. Its energy is -6.17 eV/atom.